[1]
Rb2Y2PuO6 | GGA-PBE | relaxed

**Formation energy from raw total energies**: -2.791 eV/atom
**Symmetry**: C2/m
**Electronic total energy**: -8.1494 eV/atom

Geometry as CIF:
```
data_Rb2Y2PuO6
_space_group_name_H-M_alt 'P 1'
_space_group_IT_number 1
_cell_length_a 6.043
_cell_length_b 6.043
_cell_length_c 6.987
_cell_angle_alpha 98.35
_cell_angle_beta 98.35
_cell_angle_gamma 119.92
loop_
_space_group_symop_operation_xyz
'x,y,z'
loop_
_atom_site_label
_atom_site_fract_x
_atom_site_fract_y
_atom_site_fract_z
_atom_site_occupancy
Rb1 0.832 0.168 0.000 1
Rb2 0.168 0.832 0.000 1
Y1 0.334 0.666 0.500 1
Y2 0.666 0.334 0.500 1
Pu1 0.000 0.000 0.500 1
O1 0.736 0.736 0.664 1
O2 0.050 0.381 0.665 1
O3 0.264 0.264 0.336 1
O4 0.381 0.050 0.665 1
O5 0.950 0.619 0.335 1
O6 0.619 0.950 0.335 1
```

---

[2]
Hg8H2Pb3 | GGA-PBE | relaxed

**Symmetry**: P-1
**Electronic total energy**: -1.4167 eV/atom

Geometry as CIF:
```
data_Hg8H2Pb3
_space_group_name_H-M_alt 'P 1'
_space_group_IT_number 1
_cell_length_a 3.347
_cell_length_b 9.854
_cell_length_c 14.945
_cell_angle_alpha 53.68
_cell_angle_beta 98.59
_cell_angle_gamma 68.26
loop_
_space_group_symop_operation_xyz
'x,y,z'
loop_
_atom_site_label
_atom_site_fract_x
_atom_site_fract_y
_atom_site_fract_z
_atom_site_occupancy
Hg1 0.207 0.395 0.408 1
Hg2 0.793 0.605 0.592 1
Hg3 0.165 0.820 0.266 1
Hg4 0.835 0.180 0.734 1
Hg5 0.396 0.450 0.835 1
Hg6 0.369 0.938 0.616 1
Hg7 0.631 0.062 0.384 1
Hg8 0.604 0.550 0.165 1
H1 0.515 0.691 0.434 1
H2 0.485 0.309 0.566 1
Pb1 0.500 0.000 0.000 1
Pb2 0.886 0.737 0.895 1
Pb3 0.114 0.263 0.105 1
```

---

[3]
NaSbCCl2 | GGA-PBE | relaxed

**Formation energy from raw total energies**: 0.251 eV/atom
**Symmetry**: P4/mmm
**Electronic total energy**: -3.4210 eV/atom

Geometry as CIF:
```
data_NaSbCCl2
_space_group_name_H-M_alt 'P 1'
_space_group_IT_number 1
_cell_length_a 5.650
_cell_length_b 4.243
_cell_length_c 5.650
_cell_angle_alpha 90.00
_cell_angle_beta 90.00
_cell_angle_gamma 90.00
loop_
_space_group_symop_operation_xyz
'x,y,z'
loop_
_atom_site_label
_atom_site_fract_x
_atom_site_fract_y
_atom_site_fract_z
_atom_site_occupancy
Sb1 0.000 0.000 0.000 1
C1 0.000 0.500 0.000 1
Na1 0.500 0.500 0.500 1
Cl1 0.000 0.000 0.500 1
Cl2 0.500 0.000 0.000 1
```

---

[4]
Tb5Dy4 | GGA-PBE | relaxed

**Formation energy from the elements**: 0.017 eV per atom
**Symmetry**: C2/m
**Electronic total energy**: -4.6010 eV/atom

Geometry as CIF:
```
data_Tb5Dy4
_space_group_name_H-M_alt 'P 1'
_space_group_IT_number 1
_cell_length_a 5.006
_cell_length_b 7.933
_cell_length_c 7.933
_cell_angle_alpha 84.22
_cell_angle_beta 71.55
_cell_angle_gamma 71.55
loop_
_space_group_symop_operation_xyz
'x,y,z'
loop_
_atom_site_label
_atom_site_fract_x
_atom_site_fract_y
_atom_site_fract_z
_atom_site_occupancy
Tb1 0.000 0.000 0.000 1
Tb2 0.000 0.334 0.666 1
Tb3 0.000 0.667 0.333 1
Tb4 0.333 0.333 0.000 1
Tb5 0.667 0.000 0.667 1
Dy1 0.333 0.667 0.667 1
Dy2 0.333 0.000 0.333 1
Dy3 0.667 0.667 0.000 1
Dy4 0.667 0.333 0.333 1
```

---

[5]
NaBi2Ir | GGA-PBE | relaxed

**Formation energy from the elements**: -0.031 eV per atom
**Symmetry**: R-3m
**Electronic total energy**: -4.5165 eV/atom

Geometry as CIF:
```
data_NaBi2Ir
_space_group_name_H-M_alt 'P 1'
_space_group_IT_number 1
_cell_length_a 4.221
_cell_length_b 4.221
_cell_length_c 7.728
_cell_angle_alpha 74.15
_cell_angle_beta 74.15
_cell_angle_gamma 60.00
loop_
_space_group_symop_operation_xyz
'x,y,z'
loop_
_atom_site_label
_atom_site_fract_x
_atom_site_fract_y
_atom_site_fract_z
_atom_site_occupancy
Na1 0.500 0.500 0.500 1
Ir1 0.000 0.000 0.000 1
Bi1 0.274 0.274 0.179 1
Bi2 0.726 0.726 0.821 1
```

---

[6]
NiAsCl2 | GGA-PBE | relaxed

**Formation energy from raw total energies**: -0.300 eV/atom
**Symmetry**: P-1
**Electronic total energy**: -3.8311 eV/atom

Geometry as CIF:
```
data_NiAsCl2
_space_group_name_H-M_alt 'P 1'
_space_group_IT_number 1
_cell_length_a 8.276
_cell_length_b 7.499
_cell_length_c 7.858
_cell_angle_alpha 153.34
_cell_angle_beta 154.61
_cell_angle_gamma 35.42
loop_
_space_group_symop_operation_xyz
'x,y,z'
loop_
_atom_site_label
_atom_site_fract_x
_atom_site_fract_y
_atom_site_fract_z
_atom_site_occupancy
Ni1 0.750 0.250 0.500 1
As1 0.250 0.750 0.500 1
Cl1 0.981 0.261 0.470 1
Cl2 0.519 0.239 0.530 1
```

---

[7]
Cd3NiHg | GGA-PBE | relaxed

**Formation energy from the elements**: 0.882 eV per atom
**Symmetry**: Pm-3m
**Electronic total energy**: -0.8833 eV/atom

Geometry as CIF:
```
data_Cd3NiHg
_space_group_name_H-M_alt 'P 1'
_space_group_IT_number 1
_cell_length_a 5.338
_cell_length_b 5.338
_cell_length_c 5.338
_cell_angle_alpha 90.00
_cell_angle_beta 90.00
_cell_angle_gamma 90.00
loop_
_space_group_symop_operation_xyz
'x,y,z'
loop_
_atom_site_label
_atom_site_fract_x
_atom_site_fract_y
_atom_site_fract_z
_atom_site_occupancy
Ni1 0.500 0.500 0.500 1
Hg1 0.000 0.000 0.000 1
Cd1 0.000 0.500 0.000 1
Cd2 0.000 0.000 0.500 1
Cd3 0.500 0.000 0.000 1
```

---

[8]
TcAs2Ir | GGA-PBE | relaxed

**Formation energy from the elements**: -0.014 eV per atom
**Symmetry**: Pmm2
**Electronic total energy**: -7.1460 eV/atom

Geometry as CIF:
```
data_TcAs2Ir
_space_group_name_H-M_alt 'P 1'
_space_group_IT_number 1
_cell_length_a 3.923
_cell_length_b 2.995
_cell_length_c 6.081
_cell_angle_alpha 60.46
_cell_angle_beta 90.00
_cell_angle_gamma 90.00
loop_
_space_group_symop_operation_xyz
'x,y,z'
loop_
_atom_site_label
_atom_site_fract_x
_atom_site_fract_y
_atom_site_fract_z
_atom_site_occupancy
As1 0.000 0.055 0.944 1
As2 0.500 0.193 0.307 1
Ir1 0.000 0.543 0.456 1
Tc1 0.500 0.709 0.792 1
```

---

[9]
Cd8PbAu6 | GGA-PBE | relaxed

**Formation energy from the elements**: -0.147 eV per atom
**Symmetry**: R-3
**Electronic total energy**: -2.1930 eV/atom

Geometry as CIF:
```
data_Cd8PbAu6
_space_group_name_H-M_alt 'P 1'
_space_group_IT_number 1
_cell_length_a 7.503
_cell_length_b 7.503
_cell_length_c 7.503
_cell_angle_alpha 66.13
_cell_angle_beta 66.13
_cell_angle_gamma 66.13
loop_
_space_group_symop_operation_xyz
'x,y,z'
loop_
_atom_site_label
_atom_site_fract_x
_atom_site_fract_y
_atom_site_fract_z
_atom_site_occupancy
Cd1 0.213 0.550 0.883 1
Cd2 0.117 0.787 0.450 1
Cd3 0.450 0.117 0.787 1
Cd4 0.667 0.667 0.667 1
Cd5 0.333 0.333 0.333 1
Cd6 0.550 0.883 0.213 1
Cd7 0.883 0.213 0.550 1
Cd8 0.787 0.450 0.117 1
Pb1 0.000 0.000 0.000 1
Au1 0.056 0.399 0.711 1
Au2 0.289 0.944 0.601 1
Au3 0.601 0.289 0.944 1
Au4 0.399 0.711 0.056 1
Au5 0.711 0.056 0.399 1
Au6 0.944 0.601 0.289 1
```

---

[10]
HgPbW3 | GGA-PBE | relaxed

**Formation energy from the elements**: 3.135 eV per atom
**Symmetry**: Pm-3m
**Electronic total energy**: -5.4387 eV/atom

Geometry as CIF:
```
data_HgPbW3
_space_group_name_H-M_alt 'P 1'
_space_group_IT_number 1
_cell_length_a 5.007
_cell_length_b 5.007
_cell_length_c 5.007
_cell_angle_alpha 90.00
_cell_angle_beta 90.00
_cell_angle_gamma 90.00
loop_
_space_group_symop_operation_xyz
'x,y,z'
loop_
_atom_site_label
_atom_site_fract_x
_atom_site_fract_y
_atom_site_fract_z
_atom_site_occupancy
Pb1 0.000 0.000 0.000 1
Hg1 0.500 0.500 0.500 1
W1 0.000 0.500 0.000 1
W2 0.000 0.000 0.500 1
W3 0.500 0.000 0.000 1
```

---

[11]
Ag2HPb2 | GGA-PBE | relaxed

**Symmetry**: P4/mbm
**Electronic total energy**: -2.9583 eV/atom

Geometry as CIF:
```
data_Ag2HPb2
_space_group_name_H-M_alt 'P 1'
_space_group_IT_number 1
_cell_length_a 6.095
_cell_length_b 6.095
_cell_length_c 5.609
_cell_angle_alpha 90.00
_cell_angle_beta 90.00
_cell_angle_gamma 90.00
loop_
_space_group_symop_operation_xyz
'x,y,z'
loop_
_atom_site_label
_atom_site_fract_x
_atom_site_fract_y
_atom_site_fract_z
_atom_site_occupancy
Pb1 0.183 0.683 0.500 1
Pb2 0.683 0.817 0.500 1
Pb3 0.817 0.317 0.500 1
Pb4 0.317 0.183 0.500 1
H1 0.000 0.000 0.000 1
H2 0.500 0.500 0.000 1
Ag1 0.324 0.824 0.000 1
Ag2 0.824 0.676 0.000 1
Ag3 0.676 0.176 0.000 1
Ag4 0.176 0.324 0.000 1
```

---

[12]
NbNi5Pt2 | GGA-PBE | relaxed

**Formation energy from the elements**: -0.262 eV per atom
**Symmetry**: Pbam
**Electronic total energy**: -6.6446 eV/atom

Geometry as CIF:
```
data_NbNi5Pt2
_space_group_name_H-M_alt 'P 1'
_space_group_IT_number 1
_cell_length_a 3.731
_cell_length_b 5.282
_cell_length_c 10.527
_cell_angle_alpha 90.00
_cell_angle_beta 90.00
_cell_angle_gamma 90.00
loop_
_space_group_symop_operation_xyz
'x,y,z'
loop_
_atom_site_label
_atom_site_fract_x
_atom_site_fract_y
_atom_site_fract_z
_atom_site_occupancy
Nb1 0.000 0.000 0.500 1
Nb2 0.000 0.500 0.000 1
Ni1 0.000 0.000 0.000 1
Ni2 0.000 0.500 0.500 1
Ni3 0.000 0.508 0.753 1
Ni4 0.000 0.492 0.247 1
Ni5 0.000 0.992 0.253 1
Ni6 0.000 0.008 0.747 1
Ni7 0.500 0.253 0.873 1
Ni8 0.500 0.747 0.127 1
Ni9 0.500 0.247 0.373 1
Ni10 0.500 0.753 0.627 1
Pt1 0.500 0.264 0.627 1
Pt2 0.500 0.736 0.373 1
Pt3 0.500 0.236 0.127 1
Pt4 0.500 0.764 0.873 1
```

---

Number 1: magnetization 4.0 μB per cell, density 5.404 g/cm³. Number 2: magnetization 0.0 μB per cell, density 11.529 g/cm³. Number 3: magnetization 1.0 μB per cell, density 2.791 g/cm³. Number 4: magnetization 0.0 μB per cell, density 8.462 g/cm³. Number 5: magnetization 0.0 μB per cell, density 9.291 g/cm³. Number 6: magnetization 0.0 μB per cell, density 3.622 g/cm³. Number 7: magnetization 0.9 μB per cell, density 6.511 g/cm³. Number 8: magnetization 0.0 μB per cell, density 11.756 g/cm³. Number 9: magnetization 0.0 μB per cell, density 11.233 g/cm³. Number 10: magnetization 0.0 μB per cell, density 12.692 g/cm³. Number 11: magnetization 0.0 μB per cell, density 10.058 g/cm³. Number 12: magnetization 1.0 μB per cell, density 12.430 g/cm³.